GGA-PBE Mg3Co4, optimized geometry; E_tot = -29.184 eV/cell; SG = P6/mmm (191); mass density = 5.0 g/cm3; crystal system = hexagonal; total magnetic moment = 0.827 μB per atom; V = 102 Å³/cell
1.0
5.1195 0.0000 0.0000
-2.5597 4.4336 0.0000
0.0000 0.0000 4.5118
Mg Co
3 4
Cartesian
-1.2799 2.2168 0.0000
2.5597 0.0000 0.0000
1.2799 2.2168 0.0000
0.0000 0.0000 1.1548
0.0000 0.0000 3.3570
0.0000 2.9557 2.2559
2.5597 1.4779 2.2559